(1)
Entry from Alexandria via LeMat-Bulk: a geometry-optimized Pm2InCu2Rh5 structure (PBE-GGA).

- Calculated volume: 17.42 A^3/atom
- Energy: -6.17 eV per atom
- E_form: -448 meV/atom

a = 9.464 Å, b = 9.464 Å, c = 3.889 Å
α = 90.00°, β = 90.00°, γ = 90.00°
Space group P4/mbm (No. 127)
Symmetry-distinct sites (fractional):
Pm (0.176, 0.324, 0.000) x4
In (0.000, 0.000, 0.000) x2
Cu (0.120, 0.620, 0.000) x4
Rh (0.000, 0.500, 0.500) x2
Rh (0.069, 0.790, 0.500) x8

(2)
Entry from Alexandria via LeMat-Bulk: a geometry-optimized PmInCuRu structure (PBE-GGA).

- Calculated volume: 19.40 A^3/atom
- Energy: -5.31 eV per atom
- E_form: -93 meV/atom

a = 6.771 Å, b = 6.771 Å, c = 6.771 Å
α = 90.00°, β = 90.00°, γ = 90.00°
Space group F-43m (No. 216)
Symmetry-distinct sites (fractional):
Pm (0.000, 0.000, 0.000) x4
In (0.000, 0.000, 0.500) x4
Cu (0.250, 0.250, 0.750) x4
Ru (0.250, 0.250, 0.250) x4

(3)
Entry from Alexandria via LeMat-Bulk: a geometry-optimized Pm2InCuS4 structure (PBE-GGA).

- Calculated volume: 24.40 A^3/atom
- Energy: -5.49 eV per atom
- ΔE_f (raw): -1.388 eV/atom

a = 4.035 Å, b = 13.856 Å, c = 13.961 Å
α = 90.00°, β = 90.00°, γ = 90.00°
Space group Cmcm (No. 63)
Symmetry-distinct sites (fractional):
Pm (0.000, 0.134, 0.062) x8
In (0.000, 0.395, 0.250) x4
Cu (0.000, 0.336, 0.750) x4
S (0.000, 0.069, 0.250) x4
S (0.000, 0.237, 0.614) x8
S (0.000, 0.500, 0.000) x4

(4)
Entry from Alexandria via LeMat-Bulk: a geometry-optimized PmScInCu structure (PBE-GGA).

- Calculated volume: 23.35 A^3/atom
- Energy: -4.75 eV per atom
- E_form: -268 meV/atom

a = 7.202 Å, b = 7.202 Å, c = 7.202 Å
α = 90.00°, β = 90.00°, γ = 90.00°
Space group F-43m (No. 216)
Symmetry-distinct sites (fractional):
Pm (0.000, 0.000, 0.000) x4
Sc (0.000, 0.000, 0.500) x4
In (0.250, 0.250, 0.250) x4
Cu (0.250, 0.250, 0.750) x4

(5)
Entry from Alexandria via LeMat-Bulk: a geometry-optimized Pm2InCu4Si3 structure (PBE-GGA).

- Calculated volume: 17.52 A^3/atom
- Energy: -4.97 eV per atom
- ΔE_f (raw): -0.476 eV/atom

a = 4.118 Å, b = 4.118 Å, c = 10.331 Å
α = 90.00°, β = 90.00°, γ = 90.00°
Space group P-4m2 (No. 115)
Symmetry-distinct sites (fractional):
Pm (0.000, 0.500, 0.233) x2
In (0.000, 0.000, 0.500) x1
Cu (0.000, 0.000, 0.000) x1
Cu (0.000, 0.500, 0.650) x2
Cu (0.500, 0.500, 0.000) x1
Si (0.000, 0.500, 0.877) x2
Si (0.500, 0.500, 0.500) x1

(6)
Entry from Alexandria via LeMat-Bulk: a geometry-optimized PmSmInCu structure (PBE-GGA).

- Calculated volume: 26.06 A^3/atom
- Energy: -4.35 eV per atom
- E_form: -273 meV/atom

a = 7.471 Å, b = 7.471 Å, c = 7.471 Å
α = 90.00°, β = 90.00°, γ = 90.00°
Space group F-43m (No. 216)
Symmetry-distinct sites (fractional):
Pm (0.000, 0.000, 0.000) x4
Sm (0.000, 0.000, 0.500) x4
In (0.250, 0.250, 0.250) x4
Cu (0.250, 0.250, 0.750) x4